MgZnAg | SCAN | single point on PBEsol structure

The space group is Imm2 (No. 44) and the conventional cell measures 3.317, 3.327 and 8.975 Å, with angles of 90.00, 90.00 and 90.00 degrees. The asymmetric unit holds Mg at (0.000, 0.000, 0.000), Zn at (0.000, 0.000, 0.673) and Ag at (0.000, 0.000, 0.326).

Its formation energy is -0.1711 eV/atom. Its crystal system is orthorhombic. The calculation puts the polymorph energy (0 for the lowest one) at 0.00 eV per formula unit.

=====

KCd2O2 | SCAN | single point on PBEsol structure

The space group is I4/mmm (No. 139) and the conventional cell measures 4.015, 4.015 and 12.395 Å, with angles of 90.00, 90.00 and 90.00 degrees. The asymmetric unit holds K at (0.000, 0.000, 0.000), Cd at (0.000, 0.500, 0.250) and O at (0.000, 0.000, 0.346).

Its crystal system is tetragonal. The energy relative to the elements, uncorrected is -4.29 eV/f.u.

=====

AgPt2 | SCAN | single point on PBEsol structure

The space group is C2/m (No. 12) and the conventional cell measures 9.705, 5.549 and 6.844 Å, with angles of 90.00, 91.09 and 90.00 degrees. The asymmetric unit holds Ag at (0.168, 0.000, 0.161), Ag at (0.250, 0.250, 0.500), Pt at (0.000, 0.000, 0.500), Pt at (0.000, 0.500, 0.500), Pt at (0.081, 0.249, 0.826) and Pt at (0.164, 0.500, 0.162).

Its formation energy is 0.0259 eV/atom. Its crystal system is monoclinic. The calculation puts the polymorph energy (0 for the lowest one) at 0.08 eV per formula unit.

=====

BaNaTaSn2 | SCAN | single point on PBEsol structure

The space group is P4/mmm (No. 123) and the conventional cell measures 5.271, 5.271 and 5.392 Å, with angles of 90.00, 90.00 and 90.00 degrees. The asymmetric unit holds Ba at (0.000, 0.000, 0.000), Na at (0.000, 0.000, 0.500), Ta at (0.500, 0.500, 0.000) and Sn at (0.000, 0.500, 0.500).

Its formation energy is 1.1684 eV/atom. Its crystal system is tetragonal.

=====

Co2PtW | SCAN | single point on PBEsol structure

The space group is Cm (No. 8) and the conventional cell measures 8.729, 2.663 and 4.464 Å, with angles of 90.00, 101.11 and 90.00 degrees. The asymmetric unit holds Co at (0.000, 0.000, 0.000), Co at (0.238, 0.500, 0.230), Pt at (0.247, 0.000, 0.746) and W at (0.490, 0.000, 0.472).

Its formation energy is 0.0277 eV/atom. Its crystal system is monoclinic. The calculation puts the polymorph energy (0 for the lowest one) at 0.59 eV per formula unit.

=====

Ta2CdSi | SCAN | single point on PBEsol structure

The space group is I-4m2 (No. 119) and the conventional cell measures 3.939, 3.939 and 8.706 Å, with angles of 90.00, 90.00 and 90.00 degrees. The asymmetric unit holds Ta at (0.000, 0.000, 0.000), Ta at (0.000, 0.500, 0.250), Cd at (0.000, 0.000, 0.500) and Si at (0.000, 0.500, 0.750).

Its crystal system is tetragonal. The energy relative to the elements, uncorrected is 0.85 eV/f.u.